Entry 1:
DFT (PBE) results for CuSiBr2 after structural relaxation.

Summary:
**Energy above the most stable polymorph in this dataset**: 0.588 eV per atom
**Density of states at the Fermi level**: 2.2 states/eV/cell
**SG**: No. 123
**Formation energy (no corrections)**: 11.31 kcal/mol of atoms

a = 4.8876 Å, b = 4.8876 Å, c = 3.4287 Å
α = 90.00°, β = 90.00°, γ = 90.05°
With the nearest neighbours (Å) after each atom.
Element x y z (fractional)
Br 0.0000 0.0000 0.0000  4 Si 2.99, 4 Cu 2.99
Br 0.5000 0.5000 0.0000  4 Cu 2.99, 4 Si 2.99
Cu 0.5000 0.0000 0.5000  8 Br 2.99
Si 0.0000 0.5000 0.5000  8 Br 2.99

---

Entry 2:
DFT (PBE) results for LaCd2Si after structural relaxation.

Summary:
**Density of states at the Fermi level**: 2.8 states/eV/cell
**SG**: No. 25
**Formation energy (no corrections)**: -2.95 kcal/mol of atoms

a = 3.2793 Å, b = 4.0956 Å, c = 7.1306 Å
α = 90.00°, β = 90.00°, γ = 90.00°
With the nearest neighbours (Å) after each atom.
Element x y z (fractional)
Cd 0.0000 0.0000 0.9889  4 Si 3.01, 6 Cd 3.04-3.28, 1 La 3.31
Cd 0.5000 0.5000 0.2056  1 Si 3.03, 6 Cd 3.04-3.28
La 0.0000 0.0000 0.5245  4 Si 3.20, 2 La 3.28, 5 Cd 3.31-3.47
Si 0.5000 0.5000 0.7810  5 Cd 3.01-3.03, 4 La 3.20, 2 Si 3.28

---

Entry 3:
DFT (PBE) results for Sr8Al2Sn after structural relaxation.

Summary:
**Density of states at the Fermi level**: 7.6 states/eV/cell
**Formation energy**: -0.14 eV/atom
**SG**: No. 71

a = 5.6026 Å, b = 9.0561 Å, c = 9.9402 Å
α = 117.10°, β = 106.37°, γ = 90.00°
With the nearest neighbours (Å) after each atom.
Element x y z (fractional)
Sr 0.6606 0.8798 0.3211  3 Al 3.46-3.61, 1 Sn 3.71, 3 Sr 3.79-3.80
Sr 0.3394 0.5587 0.6789  3 Al 3.46-3.61, 1 Sn 3.71, 3 Sr 3.79-3.80
Sr 0.1461 0.1461 0.2922  8 Sr 3.72-3.80, 2 Sn 3.72, 2 Al 3.97
Sr 0.0000 0.3087 0.0000  3 Sr 3.47-3.72, 2 Al 3.58
Sr 0.8539 0.8539 0.7078  8 Sr 3.72-3.80, 2 Sn 3.72, 2 Al 3.97
Sr 0.6606 0.4413 0.3211  3 Al 3.46-3.61, 1 Sn 3.71, 3 Sr 3.79-3.80
Sr 0.3394 0.1202 0.6789  3 Al 3.46-3.61, 1 Sn 3.71, 3 Sr 3.79-3.80
Sr 0.0000 0.6913 0.0000  3 Sr 3.47-3.72, 2 Al 3.58
Al 0.1867 0.6867 0.3735  8 Sr 3.46-3.61
Al 0.8133 0.3133 0.6265  8 Sr 3.46-3.61
Sn 0.5000 0.0000 0.0000  12 Sr 3.71-3.96

---

Entry 4:
DFT (PBE) results for LaSi2Pb2 after structural relaxation.

Summary:
**Energy above the most stable polymorph in this dataset**: 0.000 eV per atom
**Density of states at the Fermi level**: 2.9 states/eV/cell
**SG**: No. 139
**Formation energy (no corrections)**: -2.04 kcal/mol of atoms

a = 4.5271 Å, b = 4.5271 Å, c = 7.3409 Å
α = 72.04°, β = 72.04°, γ = 90.00°
With the nearest neighbours (Å) after each atom.
Element x y z (fractional)
Pb 0.7500 0.2500 0.5000  4 Si 3.14, 4 Pb 3.20
Pb 0.2500 0.7500 0.5000  4 Si 3.14, 4 Pb 3.20
Si 0.4146 0.4146 0.1708  1 Si 2.26
Si 0.5854 0.5854 0.8292  1 Si 2.26
La 0.0000 0.0000 0.0000  8 Si 3.39

---

Entry 5:
DFT (PBE) results for Tb6ErSc3 after structural relaxation.

Summary:
**Energy above the most stable polymorph in this dataset**: 0.140 eV per atom
**Density of states at the Fermi level**: 27.4 states/eV/cell
**Formation energy**: 0.17 eV/atom
**SG**: No. 36

a = 6.1892 Å, b = 10.6497 Å, c = 10.6497 Å
α = 121.46°, β = 90.00°, γ = 90.00°
With the nearest neighbours (Å) after each atom.
Element x y z (fractional)
Tb 0.0392 0.7037 0.6307  4 Sc 3.19-3.46, 4 Tb 3.38-3.48
Tb 0.5392 0.6307 0.7037  4 Sc 3.19-3.46, 4 Tb 3.38-3.48
Tb 0.3596 0.5536 0.9601  3 Sc 3.18-3.49, 2 Er 3.23-3.31, 5 Tb 3.29-3.55
Tb 0.8596 0.9601 0.5536  3 Sc 3.18-3.49, 2 Er 3.23-3.31, 5 Tb 3.29-3.55
Tb 0.3596 0.9540 0.0460  6 Tb 3.54-3.87, 4 Sc 3.55-3.61, 1 Er 3.64
Tb 0.6702 0.3003 0.6997  1 Sc 3.18, 4 Tb 3.29-3.32, 1 Er 3.45
Tb 0.1702 0.6997 0.3003  1 Sc 3.18, 4 Tb 3.29-3.32, 1 Er 3.45
Tb 0.8596 0.0460 0.9540  6 Tb 3.54-3.87, 4 Sc 3.55-3.61, 1 Er 3.64
Tb 0.3596 0.0399 0.4464  3 Sc 3.18-3.49, 2 Er 3.23-3.31, 5 Tb 3.29-3.55
Tb 0.8596 0.4464 0.0399  3 Sc 3.18-3.49, 2 Er 3.23-3.31, 5 Tb 3.29-3.55
Tb 0.0392 0.3693 0.2963  4 Sc 3.19-3.46, 4 Tb 3.38-3.48
Tb 0.5392 0.2963 0.3693  4 Sc 3.19-3.46, 4 Tb 3.38-3.48
Er 0.1829 0.2098 0.7902  3 Sc 3.05-3.29, 4 Tb 3.23-3.31
Er 0.6829 0.7902 0.2098  3 Sc 3.05-3.29, 4 Tb 3.23-3.31
Sc 0.4295 0.9255 0.6954  1 Er 3.05, 3 Tb 3.18-3.26
Sc 0.9295 0.6954 0.9255  1 Er 3.05, 3 Tb 3.18-3.26
Sc 0.1159 0.3856 0.6144  7 Tb 3.18-3.49, 1 Er 3.29, 2 Sc 3.43
Sc 0.6159 0.6144 0.3856  7 Tb 3.18-3.49, 1 Er 3.29, 2 Sc 3.43
Sc 0.9295 0.0745 0.3046  1 Er 3.05, 3 Tb 3.18-3.26
Sc 0.4295 0.3046 0.0745  1 Er 3.05, 3 Tb 3.18-3.26

---

Entry 6:
DFT (PBE) results for Y2VHgH after structural relaxation.

Summary:
**Energy above the most stable polymorph in this dataset**: 0.000 eV per atom
**Density of states at the Fermi level**: 4.4 states/eV/cell
**SG**: No. 123

a = 5.1166 Å, b = 5.1166 Å, c = 3.7614 Å
α = 90.00°, β = 90.00°, γ = 90.00°
With the nearest neighbours (Å) after each atom.
Element x y z (fractional)
Y 0.0000 0.5000 0.0000  2 H 2.56
Y 0.5000 0.0000 0.0000  2 H 2.56
H 0.0000 0.0000 0.0000  2 V 1.88
Hg 0.5000 0.5000 0.5000  8 Y 3.18
V 0.0000 0.0000 0.5000  2 H 1.88

---

Entry 7:
DFT (PBE) results for LiMgNbO4 after structural relaxation.

Summary:
**Density of states at the Fermi level**: 0.0 states/eV/cell
**SG**: No. 74
**Formation energy (no corrections)**: -57.64 kcal/mol of atoms

a = 6.0728 Å, b = 6.1581 Å, c = 6.1581 Å
α = 60.46°, β = 60.46°, γ = 60.46°
With the nearest neighbours (Å) after each atom.
Element x y z (fractional)
Li 0.6431 0.6069 0.1069  4 O 2.04-2.10
Li 0.3569 0.3931 0.8931  4 O 2.04-2.10
Mg 0.5000 0.0000 0.5000  6 O 2.09-2.18
Mg 0.0000 0.0000 0.5000  6 O 2.09-2.18
Nb 0.0000 0.0000 0.0000  6 O 1.97-2.06
Nb 0.0000 0.5000 0.5000  6 O 1.97-2.06
O 0.7748 0.7464 0.7040  1 Nb 1.97, 1 Li 2.04, 2 Mg 2.09
O 0.2252 0.7960 0.7536  1 Nb 1.97, 1 Li 2.04, 2 Mg 2.09
O 0.7748 0.2040 0.2464  1 Nb 1.97, 1 Li 2.04, 2 Mg 2.09
O 0.2252 0.2536 0.2960  1 Nb 1.97, 1 Li 2.04, 2 Mg 2.09
O 0.2217 0.7515 0.2515  2 Nb 2.06, 1 Li 2.10, 1 Mg 2.18
O 0.7753 0.7515 0.2515  2 Nb 2.06, 1 Li 2.10, 1 Mg 2.18
O 0.2247 0.2485 0.7485  2 Nb 2.06, 1 Li 2.10, 1 Mg 2.18
O 0.7783 0.2485 0.7485  2 Nb 2.06, 1 Li 2.10, 1 Mg 2.18

---

Entry 8:
DFT (PBE) results for SbPt2Cl after structural relaxation.

Summary:
**Energy above the most stable polymorph in this dataset**: 0.283 eV per atom
**Density of states at the Fermi level**: 2.7 states/eV/cell
**SG**: No. 44
**Formation energy (no corrections)**: 2.55 kcal/mol of atoms

a = 6.5063 Å, b = 6.5063 Å, c = 6.5063 Å
α = 153.09°, β = 141.19°, γ = 47.86°
With the nearest neighbours (Å) after each atom.
Element x y z (fractional)
Cl 0.7463 0.2463 0.5000  4 Pt 2.64
Pt 0.0441 0.0441 0.0000  4 Sb 2.84, 4 Pt 2.91-3.03
Pt 0.2529 0.7529 0.5000  4 Cl 2.64, 2 Sb 2.86, 2 Pt 2.91
Sb 0.4567 0.4567 0.0000  6 Pt 2.84-2.86, 2 Sb 3.03